No. 1
TlRe2, relaxed, DFT GGA-PBE; E = -49.05 eV for the cell shown; space group = Cmcm; theoretical density = 18.8 g cm⁻³; crystal system = orthorhombic
1.0
1.496 -7.286 0.000
1.496 7.286 0.000
0.000 0.000 4.671
Re Tl
4 2
Direct
0.784 0.216 0.750
0.558 0.442 0.250
0.442 0.558 0.750
0.216 0.784 0.250
0.110 0.890 0.750
0.890 0.110 0.250

No. 2
Ba2ZnIr, relaxed, DFT GGA-PBE; E = -13.19 eV for the cell shown; space group = I-4m2; theoretical density = 7.8 g cm⁻³; crystal system = tetragonal
1.0
-4.146 3.214 -3.040
-5.666 -1.139 1.833
5.146 1.421 2.874
Ir Ba Zn
1 2 1
Direct
0.500 0.500 0.000
0.250 0.750 0.500
0.000 0.000 0.000
0.750 0.250 0.500

Question: Number 2 is which compound?
Answer: Ba2ZnIr

Question: What is the theoretical density in the second record?
Answer: 7.8 g cm⁻³